(1)
! GGA-PBE CoHSN, relaxed; values from VASP
&SYSTEM
  ibrav = 0, nat = 4, ntyp = 4
/
ATOMIC_SPECIES
Co 58.93 Co.upf
H 1.01 H.upf
S 32.06 S.upf
N 14.01 N.upf
CELL_PARAMETERS angstrom
3.3360 0.0000 0.0000
0.0000 1.6658 4.5546
0.0000 -1.6658 4.5546
ATOMIC_POSITIONS crystal
Co 0.0000 0.0000 0.0000
H 0.5000 0.9957 0.9957
S 0.0000 0.3585 0.3585
N 0.0000 0.1926 0.1926
! - theoretical density (g/cm³) = 3.48
! - energy above the lowest structure with this stoichiometry (meV per atom) = 307
! - N(E_F) (states/eV/atom) = 0.34


(2)
! GGA-PBE CoHSN2, relaxed; values from VASP
&SYSTEM
  ibrav = 0, nat = 5, ntyp = 4
/
ATOMIC_SPECIES
Co 58.93 Co.upf
H 1.01 H.upf
S 32.06 S.upf
N 14.01 N.upf
CELL_PARAMETERS angstrom
3.4609 0.0000 0.0000
0.0000 3.4609 0.0000
0.0000 0.0000 4.9829
ATOMIC_POSITIONS crystal
Co 0.0000 0.0000 0.0000
H 0.5000 0.5000 0.5000
S 0.0000 0.0000 0.5000
N 0.0000 0.5000 0.0000
N 0.5000 0.0000 0.0000
! - uncorrected energy (eV per cell) = -23.992
! - theoretical density (g/cm³) = 3.34
! - N(E_F) (states/eV/atom) = 0.89


(3)
! GGA-PBE CoHS2N, relaxed; values from VASP
&SYSTEM
  ibrav = 0, nat = 5, ntyp = 4
/
ATOMIC_SPECIES
Co 58.93 Co.upf
H 1.01 H.upf
S 32.06 S.upf
N 14.01 N.upf
CELL_PARAMETERS angstrom
4.6193 0.0000 0.0000
0.0000 4.6193 0.0000
0.0000 0.0000 3.3384
ATOMIC_POSITIONS crystal
Co 0.0000 0.0000 0.0000
H 0.5000 0.5000 0.5000
S 0.0000 0.5000 0.0000
S 0.5000 0.0000 0.0000
N 0.0000 0.0000 0.5000
! - theoretical density (g/cm³) = 3.22
! - energy above the lowest structure with this stoichiometry (meV per atom) = 0
! - N(E_F) (states/eV/atom) = 0.80


(4)
! GGA-PBE CoHSN, relaxed; values from VASP
&SYSTEM
  ibrav = 0, nat = 4, ntyp = 4
/
ATOMIC_SPECIES
Co 58.93 Co.upf
H 1.01 H.upf
S 32.06 S.upf
N 14.01 N.upf
CELL_PARAMETERS angstrom
3.0295 -1.5933 0.0000
3.0295 1.5933 0.0000
-1.3593 0.0000 4.0734
ATOMIC_POSITIONS crystal
Co 0.0000 0.0000 0.0000
H 0.2450 0.2450 0.6429
S 0.3807 0.3807 0.2400
N 0.4185 0.4185 0.6560
! - theoretical density (g/cm³) = 4.48
! - energy above the lowest structure with this stoichiometry (meV per atom) = 126
! - N(E_F) (states/eV/atom) = 0.39


Repeat the third record exactly.
! GGA-PBE CoHS2N, relaxed; values from VASP
&SYSTEM
  ibrav = 0, nat = 5, ntyp = 4
/
ATOMIC_SPECIES
Co 58.93 Co.upf
H 1.01 H.upf
S 32.06 S.upf
N 14.01 N.upf
CELL_PARAMETERS angstrom
4.6193 0.0000 0.0000
0.0000 4.6193 0.0000
0.0000 0.0000 3.3384
ATOMIC_POSITIONS crystal
Co 0.0000 0.0000 0.0000
H 0.5000 0.5000 0.5000
S 0.0000 0.5000 0.0000
S 0.5000 0.0000 0.0000
N 0.0000 0.0000 0.5000
! - theoretical density (g/cm³) = 3.22
! - energy above the lowest structure with this stoichiometry (meV per atom) = 0
! - N(E_F) (states/eV/atom) = 0.80


Q: theoretical density of number 4 (CoHSN)?
A: 4.48 g/cm³


Please write out number 3 again, unchanged.
! GGA-PBE CoHS2N, relaxed; values from VASP
&SYSTEM
  ibrav = 0, nat = 5, ntyp = 4
/
ATOMIC_SPECIES
Co 58.93 Co.upf
H 1.01 H.upf
S 32.06 S.upf
N 14.01 N.upf
CELL_PARAMETERS angstrom
4.6193 0.0000 0.0000
0.0000 4.6193 0.0000
0.0000 0.0000 3.3384
ATOMIC_POSITIONS crystal
Co 0.0000 0.0000 0.0000
H 0.5000 0.5000 0.5000
S 0.0000 0.5000 0.0000
S 0.5000 0.0000 0.0000
N 0.0000 0.0000 0.5000
! - theoretical density (g/cm³) = 3.22
! - energy above the lowest structure with this stoichiometry (meV per atom) = 0
! - N(E_F) (states/eV/atom) = 0.80